{"formula": "KAsSe2F", "functional": "PBE-GGA", "state": "optimized geometry", "lattice_angstrom": [[-1.8161, -1.5958, 4.7415], [4.3999, -2.9102, 0.7059], [1.8586, 3.2477, 1.8049]], "species": ["As", "K", "Se", "Se", "F"], "frac_coords": [[0.0000, 0.0000, 0.5000], [0.5000, 0.5000, 0.5000], [0.0000, 0.5000, 0.0000], [0.5000, 0.0000, 0.0000], [0.0000, 0.0000, 0.0000]], "sg": "P4/mmm", "total_magnetization_mub_per_cell": 0.00, "dft_energy_ev_per_atom": -3.084, "dos_ef_per_ev_cell": 3.8, "crystal_system": "tetragonal", "e_form_raw_ev_per_fu": -0.833, "polymorph_energy_mev_per_atom": 0}


{"formula": "Li2TbSc2In2", "functional": "PBE-GGA", "state": "optimized geometry", "lattice_angstrom": [[-0.3989, 2.8481, -3.7697], [-1.4260, -1.7639, -4.1637], [-8.6461, 1.9748, -0.5750]], "species": ["Li", "Li", "Tb", "Sc", "Sc", "In", "In"], "frac_coords": [[0.5852, 0.5852, 0.2445], [0.4148, 0.4148, 0.7555], [0.0000, 0.0000, 0.0000], [0.1319, 0.1319, 0.6044], [0.8681, 0.8681, 0.3956], [0.7437, 0.7437, 0.7690], [0.2563, 0.2563, 0.2310]], "sg": "R-3m", "total_magnetization_mub_per_cell": 0.00, "dft_energy_ev_per_atom": -4.014, "ef_mev_per_atom": -214, "dos_ef_per_ev_cell": 5.9, "crystal_system": "trigonal"}


{"formula": "RbNaOs3", "functional": "PBE-GGA", "state": "optimized geometry", "lattice_angstrom": [[-1.2806, 2.5585, 4.0163], [1.2309, -3.8398, 2.8386], [4.6002, 1.7397, 0.3585]], "species": ["Na", "Os", "Os", "Os", "Rb"], "frac_coords": [[0.5000, 0.5000, 0.5000], [0.0000, 0.5000, 0.0000], [0.0000, 0.0000, 0.5000], [0.5000, 0.0000, 0.0000], [0.0000, 0.0000, 0.0000]], "sg": "Pm-3m", "total_magnetization_mub_per_cell": 5.51, "dft_energy_ev_per_atom": -3.369, "ef_mev_per_atom": 3826, "dos_ef_per_ev_cell": 5.8, "crystal_system": "cubic", "polymorph_energy_mev_per_atom": 578}


{"formula": "Al8Sb", "functional": "PBE-GGA", "state": "optimized geometry", "lattice_angstrom": [[2.1482, -5.7159, 2.4681], [1.7205, 6.2495, -1.1669], [-4.0611, 1.3738, 4.9998]], "species": ["Al", "Al", "Al", "Al", "Al", "Al", "Al", "Al", "Sb"], "frac_coords": [[0.3243, 0.6757, 0.0000], [0.6757, 0.3243, 0.0000], [0.0000, 0.3410, 0.3410], [0.6757, 0.6757, 0.3515], [0.3410, 0.0000, 0.3410], [0.3243, 0.3243, 0.6485], [0.0000, 0.6590, 0.6590], [0.6590, 0.0000, 0.6590], [0.0000, 0.0000, 0.0000]], "sg": "I4/mmm", "total_magnetization_mub_per_cell": 0.00, "dft_energy_ev_per_atom": -3.695, "dos_ef_per_ev_cell": 3.5, "crystal_system": "tetragonal", "e_form_raw_ev_per_fu": 0.812}


{"formula": "Li6GaAu5", "functional": "PBE-GGA", "state": "optimized geometry", "lattice_angstrom": [[0.0546, -4.1161, -0.7430], [4.8197, -0.8753, 5.2033], [-7.0141, 1.6941, 1.8746]], "species": ["Au", "Au", "Au", "Au", "Au", "Ga", "Li", "Li", "Li", "Li", "Li", "Li"], "frac_coords": [[0.6556, 0.1556, 0.3111], [0.3285, 0.3285, 0.6569], [0.0000, 0.5000, 0.0000], [0.6715, 0.6715, 0.3431], [0.3444, 0.8444, 0.6889], [0.0000, 0.0000, 0.0000], [0.8308, 0.5726, 0.6616], [0.8308, 0.0891, 0.6616], [0.5000, 0.7342, 0.0000], [0.5000, 0.2658, 0.0000], [0.1692, 0.9109, 0.3384], [0.1692, 0.4274, 0.3384]], "sg": "Immm", "total_magnetization_mub_per_cell": 0.00, "dft_energy_ev_per_atom": -3.082, "ef_mev_per_atom": -507, "dos_ef_per_ev_cell": 2.8, "crystal_system": "orthorhombic"}


{"formula": "Ba2NdAlTe5", "functional": "PBE-GGA", "state": "optimized geometry", "lattice_angstrom": [[4.5497, 0.0000, 0.0000], [-2.2748, 10.3078, 0.0000], [0.0000, 0.0000, 14.4288]], "species": ["Ba", "Ba", "Ba", "Ba", "Nd", "Nd", "Al", "Al", "Te", "Te", "Te", "Te", "Te", "Te", "Te", "Te", "Te", "Te"], "frac_coords": [[0.8773, 0.7546, 0.8299], [0.1211, 0.2423, 0.6873], [0.1227, 0.2454, 0.3299], [0.8789, 0.7577, 0.1873], [0.7962, 0.5924, 0.5282], [0.2038, 0.4076, 0.0282], [0.5614, 0.1228, 0.9253], [0.4386, 0.8772, 0.4253], [0.3531, 0.7061, 0.0094], [0.6858, 0.3716, 0.8695], [0.5001, 0.0002, 0.7682], [0.2974, 0.5948, 0.6770], [0.9580, 0.9160, 0.5292], [0.6469, 0.2939, 0.5094], [0.3142, 0.6284, 0.3695], [0.4999, 0.9998, 0.2682], [0.7026, 0.4052, 0.1770], [0.0420, 0.0840, 0.0292]], "sg": "Cmc2_1", "total_magnetization_mub_per_cell": 0.00, "dft_energy_ev_per_atom": -4.462, "crystal_system": "orthorhombic", "e_form_raw_ev_per_fu": -12.092}


{"formula": "ScFeSb", "functional": "PBE-GGA", "state": "optimized geometry", "lattice_angstrom": [[4.3802, 0.0000, 0.0000], [-2.1901, 3.7933, 0.0000], [0.0000, 0.0000, 3.3344]], "species": ["Fe", "Sb", "Sc"], "frac_coords": [[0.0000, 0.0000, 0.1666], [0.6667, 0.3333, 0.1666], [0.3333, 0.6667, 0.6668]], "sg": "P-6m2", "total_magnetization_mub_per_cell": 1.33, "dft_energy_ev_per_atom": -6.624, "dos_ef_per_ev_cell": 3.0, "crystal_system": "hexagonal", "e_form_raw_ev_per_fu": -0.956}


{"formula": "Pm3Er7", "functional": "PBE-GGA", "state": "optimized geometry", "lattice_angstrom": [[-0.0185, -4.6443, -1.8884], [7.1020, 0.0905, -0.2453], [-1.4486, -1.0374, 9.2163]], "species": ["Pm", "Pm", "Pm", "Er", "Er", "Er", "Er", "Er", "Er", "Er"], "frac_coords": [[0.0000, 0.0000, 0.0000], [0.8011, 0.3996, 0.6023], [0.1989, 0.6004, 0.3977], [0.0000, 0.5000, 0.0000], [0.8004, 0.9002, 0.6006], [0.1996, 0.0998, 0.3994], [0.5994, 0.2998, 0.1988], [0.4006, 0.7002, 0.8012], [0.6001, 0.8010, 0.2002], [0.3999, 0.1990, 0.7998]], "sg": "P-1", "total_magnetization_mub_per_cell": 0.00, "dft_energy_ev_per_atom": -4.600, "ef_mev_per_atom": 20, "dos_ef_per_ev_cell": 13.3, "crystal_system": "triclinic", "polymorph_energy_mev_per_atom": 0}


{"formula": "Te4AuCl", "functional": "PBE-GGA", "state": "optimized geometry", "lattice_angstrom": [[6.8972, -0.5635, -0.8162], [-0.8267, 7.4989, 3.4787], [-0.9125, -0.4550, 8.2449]], "species": ["Te", "Te", "Te", "Te", "Te", "Te", "Te", "Te", "Au", "Au", "Cl", "Cl"], "frac_coords": [[0.5304, 0.6030, 0.6030], [0.3457, 0.0813, 0.7401], [0.0000, 0.2352, 0.7648], [0.6543, 0.2599, 0.9187], [0.4696, 0.3970, 0.3970], [0.6543, 0.9187, 0.2599], [0.0000, 0.7648, 0.2352], [0.3457, 0.7401, 0.0813], [0.1448, 0.5970, 0.5970], [0.8552, 0.4030, 0.4030], [0.9913, 0.7469, 0.7470], [0.0087, 0.2531, 0.2530]], "sg": "C2/m", "total_magnetization_mub_per_cell": 0.00, "dft_energy_ev_per_atom": -2.965, "dos_ef_per_ev_cell": 9.5, "crystal_system": "monoclinic", "e_form_raw_ev_per_fu": -0.100, "polymorph_energy_mev_per_atom": 0}


{"formula": "PmNd4Ho3S8", "functional": "PBE-GGA", "state": "optimized geometry", "lattice_angstrom": [[7.9510, 0.0000, 0.0000], [0.0000, 8.0414, 0.0577], [-3.9755, -3.9716, 5.6252]], "species": ["Pm", "Nd", "Nd", "Nd", "Nd", "Ho", "Ho", "Ho", "S", "S", "S", "S", "S", "S", "S", "S"], "frac_coords": [[0.0000, 0.5000, 0.0000], [0.5000, 0.0000, 0.0000], [0.5000, 0.0000, 0.5000], [0.0000, 0.0000, 0.0000], [0.0000, 0.0000, 0.5000], [0.5000, 0.5000, 0.0000], [0.5000, 0.5000, 0.5000], [0.0000, 0.5000, 0.5000], [0.2488, 0.7360, 0.9873], [0.2488, 0.7360, 0.4975], [0.2562, 0.2686, 0.5124], [0.7385, 0.7360, 0.9873], [0.2615, 0.2640, 0.0127], [0.7438, 0.7314, 0.4876], [0.7512, 0.2640, 0.5025], [0.7512, 0.2640, 0.0127]], "sg": "R-3m", "total_magnetization_mub_per_cell": 0.00, "dft_energy_ev_per_atom": -6.417, "dos_ef_per_ev_cell": 7.6, "crystal_system": "trigonal", "e_form_raw_ev_per_fu": -32.095}


{"formula": "CoAs2RhSe", "functional": "PBE-GGA", "state": "optimized geometry", "lattice_angstrom": [[4.3948, 0.0000, 0.0000], [0.0000, 4.3948, 0.0000], [0.0000, 0.0000, 4.7873]], "species": ["Co", "As", "As", "Rh", "Se"], "frac_coords": [[0.0000, 0.0000, 0.0000], [0.0000, 0.5000, 0.0000], [0.5000, 0.0000, 0.0000], [0.5000, 0.5000, 0.5000], [0.0000, 0.0000, 0.5000]], "sg": "P4/mmm", "total_magnetization_mub_per_cell": 0.00, "dft_energy_ev_per_atom": -4.925, "dos_ef_per_ev_cell": 3.2, "crystal_system": "tetragonal", "e_form_raw_ev_per_fu": 2.615, "polymorph_energy_mev_per_atom": 0}


{"formula": "LiO2", "functional": "PBE-GGA", "state": "optimized geometry", "lattice_angstrom": [[-0.5614, 3.3961, -1.4902], [-2.1376, 0.9577, -2.9296], [-3.1365, 2.0565, -0.0491]], "species": ["O", "O", "Li"], "frac_coords": [[0.2762, 0.2762, 0.2762], [0.7238, 0.7238, 0.7238], [0.5000, 0.5000, 0.5000]], "sg": "R-3m", "total_magnetization_mub_per_cell": 2.97, "dft_energy_ev_per_atom": -4.014, "dos_ef_per_ev_cell": 0.6, "crystal_system": "trigonal", "e_form_raw_ev_per_fu": -0.213, "polymorph_energy_mev_per_atom": 847}


{"formula": "KBa3Ru2O9", "functional": "PBE-GGA", "state": "optimized geometry", "lattice_angstrom": [[-4.3942, 2.6034, -2.9041], [3.0730, -4.3021, -2.5630], [-5.2486, -5.5280, 2.9861]], "species": ["K", "Ba", "Ba", "Ba", "Ru", "Ru", "O", "O", "O", "O", "O", "O", "O", "O", "O"], "frac_coords": [[0.0000, 0.0000, 0.5000], [0.3333, 0.6667, 0.7302], [0.0000, 0.0000, 0.0000], [0.6667, 0.3333, 0.2698], [0.3333, 0.6667, 0.1551], [0.6667, 0.3333, 0.8449], [0.8221, 0.1779, 0.7245], [0.8221, 0.6441, 0.7245], [0.3559, 0.1779, 0.7245], [0.6441, 0.8221, 0.2755], [0.1779, 0.3559, 0.2755], [0.1779, 0.8221, 0.2755], [0.5000, 0.0000, 0.0000], [0.0000, 0.5000, 0.0000], [0.5000, 0.5000, 0.0000]], "sg": "P-3m1", "total_magnetization_mub_per_cell": 5.03, "dft_energy_ev_per_atom": -6.434, "dos_ef_per_ev_cell": 9.4, "crystal_system": "trigonal", "e_form_raw_ev_per_fu": -26.467}


{"formula": "MgSn2Pd6", "functional": "PBE-GGA", "state": "optimized geometry", "lattice_angstrom": [[7.3767, 0.0000, 0.7330], [0.0000, 5.5575, 0.0000], [2.3571, 0.0000, 8.9517]], "species": ["Mg", "Mg", "Sn", "Sn", "Sn", "Sn", "Pd", "Pd", "Pd", "Pd", "Pd", "Pd", "Pd", "Pd", "Pd", "Pd", "Pd", "Pd"], "frac_coords": [[0.5000, 0.5000, 0.0000], [0.0000, 0.0000, 0.5000], [0.0434, 0.5000, 0.7719], [0.4566, 0.0000, 0.7281], [0.5434, 0.0000, 0.2719], [0.9566, 0.5000, 0.2281], [0.9546, 0.0000, 0.2254], [0.7028, 0.7487, 0.4765], [0.7974, 0.7508, 0.0236], [0.7026, 0.2508, 0.4764], [0.7972, 0.2487, 0.0235], [0.5454, 0.5000, 0.2746], [0.0454, 0.0000, 0.7746], [0.2972, 0.2513, 0.5235], [0.2026, 0.2492, 0.9764], [0.2974, 0.7492, 0.5236], [0.2028, 0.7513, 0.9765], [0.4546, 0.5000, 0.7254]], "sg": "C2/m", "total_magnetization_mub_per_cell": 0.00, "dft_energy_ev_per_atom": -4.878, "ef_mev_per_atom": -349, "dos_ef_per_ev_cell": 5.8, "crystal_system": "monoclinic"}


{"formula": "Si2SnS6", "functional": "PBE-GGA", "state": "optimized geometry", "lattice_angstrom": [[-1.2220, 1.5941, -5.5948], [-5.3030, -6.4812, -3.7580], [-7.0808, 5.8389, 0.1405]], "species": ["Si", "Si", "Si", "Si", "Sn", "Sn", "S", "S", "S", "S", "S", "S", "S", "S", "S", "S", "S", "S"], "frac_coords": [[0.1732, 0.6383, 0.7938], [0.3268, 0.2062, 0.3617], [0.8268, 0.3617, 0.2062], [0.6732, 0.7938, 0.6383], [0.2500, 0.2103, 0.7897], [0.7500, 0.7897, 0.2103], [0.3831, 0.7259, 0.5961], [0.1169, 0.4039, 0.2741], [0.6169, 0.2741, 0.4039], [0.8831, 0.5961, 0.7259], [0.8944, 0.8388, 0.4200], [0.6056, 0.5800, 0.1612], [0.1056, 0.1612, 0.5800], [0.3944, 0.4200, 0.8388], [0.0969, 0.8036, 0.9825], [0.4031, 0.0175, 0.1964], [0.9031, 0.1964, 0.0175], [0.5969, 0.9825, 0.8036]], "sg": "C2/c", "total_magnetization_mub_per_cell": 0.00, "dft_energy_ev_per_atom": -4.895, "dos_ef_per_ev_cell": 0.0, "crystal_system": "monoclinic", "e_form_raw_ev_per_fu": -4.438}


{"formula": "Sr2Ga2Hg", "functional": "PBE-GGA", "state": "optimized geometry", "lattice_angstrom": [[-1.4911, 3.5703, -0.6325], [-3.4083, -1.1468, 1.5617], [0.6276, 4.0569, 9.2696]], "species": ["Sr", "Sr", "Hg", "Ga", "Ga"], "frac_coords": [[0.3965, 0.3965, 0.2070], [0.6035, 0.6035, 0.7930], [0.0000, 0.0000, 0.0000], [0.7500, 0.2500, 0.5000], [0.2500, 0.7500, 0.5000]], "sg": "I4/mmm", "total_magnetization_mub_per_cell": 0.00, "dft_energy_ev_per_atom": -2.229, "ef_mev_per_atom": -285, "dos_ef_per_ev_cell": 3.4, "crystal_system": "tetragonal", "polymorph_energy_mev_per_atom": 154}


{"formula": "MgInSi2", "functional": "PBE-GGA", "state": "optimized geometry", "lattice_angstrom": [[4.1793, 0.0000, 0.0000], [0.0000, 3.0246, -0.0013], [0.0000, 0.2866, 6.3375]], "species": ["In", "Mg", "Si", "Si"], "frac_coords": [[0.5000, 0.2500, 0.2500], [0.5000, 0.7500, 0.7500], [0.0000, 0.2355, 0.9418], [0.0000, 0.2645, 0.5582]], "sg": "P2/m", "total_magnetization_mub_per_cell": 0.00, "dft_energy_ev_per_atom": -3.583, "dos_ef_per_ev_cell": 1.3, "crystal_system": "monoclinic", "e_form_raw_ev_per_fu": 0.848, "polymorph_energy_mev_per_atom": 30}


{"formula": "Pr4Y2Sc", "functional": "PBE-GGA", "state": "optimized geometry", "lattice_angstrom": [[-9.2202, -2.1587, 8.2467], [3.7760, 3.5499, -11.4377], [2.3688, -6.3735, -0.2844]], "species": ["Pr", "Pr", "Pr", "Pr", "Pr", "Pr", "Pr", "Pr", "Y", "Y", "Y", "Y", "Sc", "Sc"], "frac_coords": [[0.8691, 0.3333, 0.1436], [0.3333, 0.8691, 0.6436], [0.2396, 0.8503, 0.1008], [0.8503, 0.2396, 0.6008], [0.8881, 0.9983, 0.3999], [0.4390, 0.4753, 0.8557], [0.4753, 0.4390, 0.3557], [0.9983, 0.8881, 0.8999], [0.7283, 0.4110, 0.5478], [0.9309, 0.1139, 0.9535], [0.1139, 0.9309, 0.4535], [0.4110, 0.7283, 0.0478], [0.3671, 0.6170, 0.5003], [0.6170, 0.3671, 0.0003]], "sg": "Cc", "total_magnetization_mub_per_cell": 0.00, "dft_energy_ev_per_atom": -5.407, "ef_mev_per_atom": 76, "dos_ef_per_ev_cell": 22.0, "crystal_system": "monoclinic", "polymorph_energy_mev_per_atom": 0}


{"formula": "Li2CaPuO6", "functional": "PBE-GGA", "state": "optimized geometry", "lattice_angstrom": [[-2.0421, 0.6201, 4.8815], [-1.3875, -4.2708, 2.8699], [3.7723, -1.4150, 4.6644]], "species": ["Li", "Li", "Ca", "Pu", "O", "O", "O", "O", "O", "O"], "frac_coords": [[0.6233, 0.6235, 0.1296], [0.0100, 0.0090, 0.9716], [0.8163, 0.8162, 0.5513], [0.3160, 0.3161, 0.0518], [0.5686, 0.2279, 0.2544], [0.2277, 0.9491, 0.2541], [0.9492, 0.5693, 0.2539], [0.4052, 0.6829, 0.8492], [0.6830, 0.0626, 0.8496], [0.0624, 0.4049, 0.8497]], "sg": "R-3", "total_magnetization_mub_per_cell": 0.00, "dft_energy_ev_per_atom": -7.277, "dos_ef_per_ev_cell": 0.1, "crystal_system": "trigonal", "e_form_raw_ev_per_fu": -22.862}


{"formula": "AcY3Tl2", "functional": "PBE-GGA", "state": "optimized geometry", "lattice_angstrom": [[5.5036, 0.0000, 0.0000], [-2.7518, 9.2212, -0.7247], [0.0000, -4.8549, 8.0347]], "species": ["Ac", "Ac", "Y", "Y", "Y", "Y", "Y", "Y", "Tl", "Tl", "Tl", "Tl"], "frac_coords": [[0.8687, 0.7375, 0.9180], [0.1313, 0.2625, 0.0820], [0.3048, 0.6096, 0.5942], [0.9370, 0.8739, 0.5886], [0.6147, 0.2295, 0.7012], [0.3853, 0.7705, 0.2988], [0.0630, 0.1261, 0.4114], [0.6952, 0.3904, 0.4058], [0.5063, 0.0126, 0.8470], [0.4937, 0.9874, 0.1530], [0.7788, 0.5576, 0.1659], [0.2212, 0.4424, 0.8341]], "sg": "C2/m", "total_magnetization_mub_per_cell": 0.97, "dft_energy_ev_per_atom": -4.899, "ef_mev_per_atom": -193, "dos_ef_per_ev_cell": 11.9, "crystal_system": "monoclinic"}